[1]
{
  "formula": "Ba5LiNb4O15",
  "functional": "PBE",
  "state": "optimized geometry",
  "e_tot_ev_per_cell": -586.9,
  "magmom_total_mub_per_cell": 0.8,
  "lattice": [[5.8176, 0.0000, 0.0000], [-2.9088, 5.0382, 0.0000], [0.0000, 0.0000, 35.8192]],
  "species": ["Ba", "Ba", "Ba", "Ba", "Ba", "Ba", "Ba", "Ba", "Ba", "Ba", "Ba", "Ba", "Ba", "Ba", "Ba", "Li", "Li", "Li", "Nb", "Nb", "Nb", "Nb", "Nb", "Nb", "Nb", "Nb", "Nb", "Nb", "Nb", "Nb", "O", "O", "O", "O", "O", "O", "O", "O", "O", "O", "O", "O", "O", "O", "O", "O", "O", "O", "O", "O", "O", "O", "O", "O", "O", "O", "O", "O", "O", "O", "O", "O", "O", "O", "O", "O", "O", "O", "O", "O", "O", "O", "O", "O", "O"],
  "frac_coords": [[0.0000, 0.0000, 0.0000], [0.3333, 0.6667, 0.0703], [0.6667, 0.3333, 0.1357], [0.0000, 0.0000, 0.1976], [0.3333, 0.6667, 0.2630], [0.6667, 0.3333, 0.3333], [0.0000, 0.0000, 0.4036], [0.3333, 0.6667, 0.4691], [0.6667, 0.3333, 0.5309], [0.0000, 0.0000, 0.5964], [0.3333, 0.6667, 0.6667], [0.6667, 0.3333, 0.7370], [0.0000, 0.0000, 0.8024], [0.3333, 0.6667, 0.8643], [0.6667, 0.3333, 0.9297], [0.3333, 0.6667, 0.1667], [0.0000, 0.0000, 0.5000], [0.6667, 0.3333, 0.8333], [0.6667, 0.3333, 0.0332], [0.0000, 0.0000, 0.1025], [0.6667, 0.3333, 0.2308], [0.0000, 0.0000, 0.3001], [0.3333, 0.6667, 0.3666], [0.6667, 0.3333, 0.4359], [0.3333, 0.6667, 0.5641], [0.6667, 0.3333, 0.6334], [0.0000, 0.0000, 0.6999], [0.3333, 0.6667, 0.7692], [0.0000, 0.0000, 0.8975], [0.3333, 0.6667, 0.9668], [0.5000, 0.0000, 0.0000], [0.0000, 0.5000, 0.0000], [0.5000, 0.5000, 0.0000], [0.3350, 0.1675, 0.0647], [0.8325, 0.1675, 0.0647], [0.8325, 0.6650, 0.0647], [0.1616, 0.3231, 0.1306], [0.1616, 0.8384, 0.1306], [0.6769, 0.8384, 0.1306], [0.5051, 0.0103, 0.2028], [0.5051, 0.4949, 0.2028], [0.9897, 0.4949, 0.2028], [0.3316, 0.1658, 0.2686], [0.8342, 0.1658, 0.2686], [0.8342, 0.6684, 0.2686], [0.1667, 0.3333, 0.3333], [0.1667, 0.8333, 0.3333], [0.6667, 0.8333, 0.3333], [0.0018, 0.5009, 0.3980], [0.4991, 0.5009, 0.3980], [0.4991, 0.9982, 0.3980], [0.3436, 0.1718, 0.4639], [0.8282, 0.1718, 0.4639], [0.8282, 0.6564, 0.4639], [0.1718, 0.3436, 0.5361], [0.1718, 0.8282, 0.5361], [0.6564, 0.8282, 0.5361], [0.5009, 0.0018, 0.6020], [0.5009, 0.4991, 0.6020], [0.9982, 0.4991, 0.6020], [0.3333, 0.1667, 0.6667], [0.8333, 0.1667, 0.6667], [0.8333, 0.6667, 0.6667], [0.1658, 0.3316, 0.7314], [0.1658, 0.8342, 0.7314], [0.6684, 0.8342, 0.7314], [0.0103, 0.5051, 0.7972], [0.4949, 0.5051, 0.7972], [0.4949, 0.9897, 0.7972], [0.3231, 0.1616, 0.8694], [0.8384, 0.1616, 0.8694], [0.8384, 0.6769, 0.8694], [0.1675, 0.3350, 0.9353], [0.1675, 0.8325, 0.9353], [0.6650, 0.8325, 0.9353]]
}

---

[2]
{
  "formula": "YInFeHg",
  "functional": "PBE",
  "state": "optimized geometry",
  "e_tot_ev_per_cell": -17.7,
  "spacegroup": "F-43m",
  "magmom_total_mub_per_cell": 2.3,
  "lattice": [[0.0000, 3.4340, 3.4340], [3.4340, 0.0000, 3.4340], [3.4340, 3.4340, 0.0000]],
  "species": ["Y", "In", "Fe", "Hg"],
  "frac_coords": [[0.0000, 0.0000, 0.0000], [0.5000, 0.5000, 0.5000], [0.2500, 0.2500, 0.2500], [0.7500, 0.7500, 0.7500]]
}